# LaNd2Dy3Y6 | Alexandria via LeMat-Bulk | PBE | relaxed
data_LaNd2Dy3Y6
_cell_length_a 6.239
_cell_length_b 6.239
_cell_length_c 11.879
_cell_angle_alpha 95.01
_cell_angle_beta 95.01
_cell_angle_gamma 119.98
_space_group_name_H-M_alt 'P 1'
_space_group_IT_number 1
loop_
_space_group_symop_operation_xyz
'x,y,z'
loop_
_atom_site_label
_atom_site_fract_x
_atom_site_fract_y
_atom_site_fract_z
La1 0.000 0.000 0.000
Nd1 0.333 0.667 0.000
Nd2 0.667 0.333 0.000
Dy1 0.167 0.833 0.500
Dy2 0.500 0.500 0.500
Dy3 0.833 0.167 0.500
Y1 0.085 0.419 0.254
Y2 0.249 0.249 0.746
Y3 0.419 0.085 0.254
Y4 0.581 0.915 0.746
Y5 0.751 0.751 0.254
Y6 0.915 0.581 0.746
# ΔH_f (0 K): 0.019 eV/atom
# Total magnetic moment: 0.00 μB per atom
# ρ: 6.10 g/cm³